{"formula": "LiErMg6", "functional": "PBE", "state": "optimized geometry", "cell": [[-5.1637, -2.3710, 3.2799], [4.0789, -4.0970, -3.1017], [2.8597, -0.3628, 4.2399]], "species": ["Er", "Li", "Mg", "Mg", "Mg", "Mg", "Mg", "Mg"], "frac_coords": [[0.6667, 0.3333, 0.0000], [0.3333, 0.6667, 0.5000], [0.1638, 0.3277, 0.0000], [0.1638, 0.8362, 0.0000], [0.6723, 0.8362, 0.0000], [0.3282, 0.1641, 0.5000], [0.8359, 0.1641, 0.5000], [0.8359, 0.6718, 0.5000]], "sg": "P-6m2 (187)"}

{"formula": "LiErMgS3", "functional": "PBE", "state": "optimized geometry", "cell": [[-2.6461, 3.1868, 5.0130], [2.0206, -5.7831, -2.1819], [9.9042, 1.9577, 3.9835]], "species": ["Er", "Er", "Li", "Li", "Mg", "Mg", "S", "S", "S", "S", "S", "S"], "frac_coords": [[0.5000, 0.5000, 0.0000], [0.5000, 0.5000, 0.5000], [0.7572, 0.2428, 0.2500], [0.2428, 0.7572, 0.7500], [0.0266, 0.9734, 0.2500], [0.9734, 0.0266, 0.7500], [0.1365, 0.8635, 0.0717], [0.4085, 0.5915, 0.2500], [0.1365, 0.8635, 0.4283], [0.8635, 0.1365, 0.5717], [0.5915, 0.4085, 0.7500], [0.8635, 0.1365, 0.9283]], "sg": "Cmcm (63)"}

Values for DFT total energy, eV/atom, ordered as above
-1.9850; -4.9187
Values for size of the total moment, μB per atom, ordered as above
0.0026; 0.0013